1.
Compound: NbCdAs2
Source: Alexandria
Functional: GGA-PBEsol
Structure: optimized geometry

The structure belongs to space group I-42d (No. 122); the cell edges are 6.0560, 6.0560 and 11.3780 Å and the angles 90.00°, 90.00° and 90.00°. The asymmetric unit holds Nb at (0.0000, 0.0000, 0.0000), Cd at (0.0000, 0.0000, 0.5000) and As at (0.2265, 0.2500, 0.1250).

For the formation enthalpy at 0 K, the calculation gives 0.16 eV/atom. Its crystal system is tetragonal. As for the final energy: -5.40 eV/atom. As for the spin magnetization: 2.663 μB per cell.



2.
Compound: K3AsPt
Source: Alexandria
Functional: GGA-PBEsol
Structure: optimized geometry

The structure belongs to space group Pm-3m (No. 221); the cell edges are 6.0708, 6.0708 and 6.0708 Å and the angles 90.00°, 90.00° and 90.00°. The asymmetric unit holds K at (0.0000, 0.0000, 0.5000), As at (0.0000, 0.0000, 0.0000) and Pt at (0.5000, 0.5000, 0.5000).

For the formation enthalpy at 0 K, the calculation gives 0.59 eV/atom. Its crystal system is cubic. As for the final energy: -2.51 eV/atom. As for the spin magnetization: 2.037 μB per cell.



What did the second record say?
Compound: K3AsPt
Source: Alexandria
Functional: GGA-PBEsol
Structure: optimized geometry

The structure belongs to space group Pm-3m (No. 221); the cell edges are 6.0708, 6.0708 and 6.0708 Å and the angles 90.00°, 90.00° and 90.00°. The asymmetric unit holds K at (0.0000, 0.0000, 0.5000), As at (0.0000, 0.0000, 0.0000) and Pt at (0.5000, 0.5000, 0.5000).

For the formation enthalpy at 0 K, the calculation gives 0.59 eV/atom. Its crystal system is cubic. As for the final energy: -2.51 eV/atom. As for the spin magnetization: 2.037 μB per cell.